Entry from the Alexandria database: a geometry-optimized LaTeP2 structure (PBE).

Summary:
Space-group type: Imm2, No. 44
Raw formation energy (meV per atom): -497.2
DOS(E_F) (states/eV per atom): 0.54
V (Å³ per cell): 92.0

```
LaTeP2
1.0
6.0172 -0.0173 0.0102
3.1092 5.1517 -0.0102
-4.5141 -2.6545 2.9638
P La Te
2 1 1
Cartesian
0.0697 0.0392 0.0000
1.5481 2.5147 1.4768
3.0287 -0.0548 1.4870
4.5290 2.5479 0.0000
```